Material: Pm2YEr
Method: DFT, PBE
State: relaxed

Summary:
Distance to the lowest polymorph of the same formula ... 0.03 eV per formula unit
ΔE_f ... 20 meV/atom
Magnetization ... 0.00 μB/cell

Structure (POSCAR):
```
Pm2YEr
1.0
3.600 0.000 0.000
0.000 3.600 0.000
0.000 0.000 10.141
Pm Y Er
2 1 1
Direct
0.000 0.000 0.248
0.000 0.000 0.752
0.500 0.500 0.500
0.500 0.500 0.000
```